Ac2Hf5Ga: optimized geometry, PBE.

Calculated values
**Crystal system**: tetragonal

Cell: 6.7579 6.7579 5.0755 Å, 90.00 90.00 90.00°
With the nearest neighbours (Å) after each atom.
Fractional positions:
Ac1 0.0000 0.5000 0.0000  10 Hf 3.38-3.50
Ac2 0.5000 0.0000 0.0000  10 Hf 3.38-3.50
Hf1 0.0000 0.0000 0.0000  2 Ga 2.54
Hf2 0.2773 0.2773 0.5000  1 Ga 2.65
Hf3 0.2773 0.7227 0.5000  1 Ga 2.65
Hf4 0.7227 0.2773 0.5000  1 Ga 2.65
Hf5 0.7227 0.7227 0.5000  1 Ga 2.65
Ga1 0.0000 0.0000 0.5000  6 Hf 2.54-2.65

***

PmMgSi: optimized geometry, PBE.

Calculated values
**Energy above the most stable polymorph in this dataset**: 0.5504 eV per atom
**Crystal system**: cubic

Cell: 4.8837 4.8837 4.8837 Å, 60.00 60.00 60.00°
With the nearest neighbours (Å) after each atom.
Fractional positions:
Pm1 0.0000 0.0000 0.0000  4 Mg 2.99, 4 Si 2.99
Mg1 0.7500 0.7500 0.7500  4 Pm 2.99
Si1 0.2500 0.2500 0.2500  4 Pm 2.99

***

LiTbZnTe3: optimized geometry, PBE.

Calculated values
**Energy above the most stable polymorph in this dataset**: 0.0501 eV per atom
**Crystal system**: orthorhombic

Cell: 12.9544 4.2799 12.6256 Å, 90.00 90.00 90.00°
With the nearest neighbours (Å) after each atom.
Fractional positions:
Li1 0.1201 0.2500 0.0099  5 Te 2.94-3.09
Li2 0.3799 0.7500 0.5099  5 Te 2.94-3.09
Li3 0.6201 0.2500 0.4901  5 Te 2.94-3.09
Li4 0.8799 0.7500 0.9901  5 Te 2.94-3.09
Tb1 0.0479 0.2500 0.6771  6 Te 3.07-3.22
Tb2 0.4521 0.7500 0.1771  6 Te 3.07-3.22
Tb3 0.5479 0.2500 0.8229  6 Te 3.07-3.22
Tb4 0.9521 0.7500 0.3229  6 Te 3.07-3.22
Zn1 0.2375 0.2500 0.2857  4 Te 2.61-2.70
Zn2 0.2625 0.7500 0.7857  4 Te 2.61-2.70
Zn3 0.7375 0.2500 0.2143  4 Te 2.61-2.70
Zn4 0.7625 0.7500 0.7143  4 Te 2.61-2.70
Te1 0.0684 0.7500 0.8590  1 Zn 2.68, 3 Li 2.94-2.95
Te2 0.0894 0.2500 0.4254  1 Zn 2.61
Te3 0.2140 0.7500 0.1574  2 Zn 2.70
Te4 0.2860 0.2500 0.6574  2 Zn 2.70
Te5 0.4106 0.7500 0.9254  1 Zn 2.61
Te6 0.4316 0.2500 0.3590  1 Zn 2.68, 3 Li 2.94-2.95
Te7 0.5684 0.7500 0.6410  1 Zn 2.68, 3 Li 2.94-2.95
Te8 0.5894 0.2500 0.0746  1 Zn 2.61
Te9 0.7140 0.7500 0.3426  2 Zn 2.70
Te10 0.7860 0.2500 0.8426  2 Zn 2.70
Te11 0.9106 0.7500 0.5746  1 Zn 2.61
Te12 0.9316 0.2500 0.1410  1 Zn 2.68, 3 Li 2.94-2.95

***

KCoAgSe2S: optimized geometry, PBE.

Calculated values
**Crystal system**: orthorhombic

Cell: 7.6434 7.6434 10.0787 Å, 90.00 90.00 152.33°
With the nearest neighbours (Å) after each atom.
Fractional positions:
K1 0.2487 0.7513 0.7500  2 S 3.31, 6 Se 3.37-3.68, 2 Ag 3.47, 2 K 3.66
K2 0.7513 0.2487 0.2500  2 S 3.31, 6 Se 3.37-3.68, 2 Ag 3.47, 2 K 3.66
Co1 0.5000 0.5000 0.0000  4 Se 2.44, 2 S 2.69
Co2 0.5000 0.5000 0.5000  4 Se 2.44, 2 S 2.69
Ag1 0.0524 0.9476 0.2500  2 S 2.51, 2 Se 2.53
Ag2 0.9476 0.0524 0.7500  2 S 2.51, 2 Se 2.53
Se1 0.1087 0.8913 0.0129  2 Co 2.44, 1 Ag 2.53
Se2 0.1087 0.8913 0.4871  2 Co 2.44, 1 Ag 2.53
Se3 0.8913 0.1087 0.5129  2 Co 2.44, 1 Ag 2.53
Se4 0.8913 0.1087 0.9871  2 Co 2.44, 1 Ag 2.53
S1 0.4368 0.5632 0.2500  2 Ag 2.51, 2 Co 2.69
S2 0.5632 0.4368 0.7500  2 Ag 2.51, 2 Co 2.69

***

Zr4GaSnC2: optimized geometry, PBE.

Calculated values
**Crystal system**: hexagonal

Cell: 3.3640 3.3640 14.4498 Å, 90.00 90.00 120.00°
With the nearest neighbours (Å) after each atom.
Fractional positions:
Zr1 0.0000 0.0000 0.1572  3 C 2.31
Zr2 0.0000 0.0000 0.8428  3 C 2.31
Zr3 0.3333 0.6667 0.3311  3 C 2.31
Zr4 0.3333 0.6667 0.6689  3 C 2.31
Ga1 0.3333 0.6667 0.0000  6 Zr 2.99
Sn1 0.0000 0.0000 0.5000  6 Zr 3.12, 6 Sn 3.36
C1 0.6667 0.3333 0.2441  6 Zr 2.31
C2 0.6667 0.3333 0.7559  6 Zr 2.31

***

Nd3PaAs4: optimized geometry, PBE.

Calculated values
**Crystal system**: orthorhombic

Cell: 7.3040 7.3040 4.2209 Å, 90.00 90.00 109.40°
With the nearest neighbours (Å) after each atom.
Fractional positions:
Nd1 0.0000 0.0000 0.0000  6 As 3.05-3.07
Nd2 0.0000 0.5000 0.5000  6 As 2.98-2.99
Nd3 0.5000 0.0000 0.5000  6 As 2.98-2.99
Pa1 0.5000 0.5000 0.0000  6 As 2.89-2.92
As1 0.2572 0.7428 0.0000  1 Pa 2.89, 5 Nd 2.99-3.07
As2 0.2610 0.2610 0.5000  2 Pa 2.92, 4 Nd 2.98-3.05
As3 0.7390 0.7390 0.5000  2 Pa 2.92, 4 Nd 2.98-3.05
As4 0.7428 0.2572 0.0000  1 Pa 2.89, 5 Nd 2.99-3.07

***

ScIn2Cu5: optimized geometry, PBE.

Calculated values
**Crystal system**: tetragonal

Cell: 4.4408 4.4408 6.2311 Å, 90.00 90.00 90.00°
With the nearest neighbours (Å) after each atom.
Fractional positions:
Sc1 0.0000 0.0000 0.0000  8 Cu 2.77
In1 0.0000 0.0000 0.5000  8 Cu 2.66
In2 0.5000 0.5000 0.0000  8 Cu 2.77
Cu1 0.0000 0.5000 0.2654  4 In 2.66-2.77, 3 Cu 2.66-2.92, 2 Sc 2.77
Cu2 0.0000 0.5000 0.7346  4 In 2.66-2.77, 3 Cu 2.66-2.92, 2 Sc 2.77
Cu3 0.5000 0.0000 0.2654  4 In 2.66-2.77, 3 Cu 2.66-2.92, 2 Sc 2.77
Cu4 0.5000 0.0000 0.7346  4 In 2.66-2.77, 3 Cu 2.66-2.92, 2 Sc 2.77
Cu5 0.5000 0.5000 0.5000  8 Cu 2.66

***

GaTc2Os: optimized geometry, PBE.

Calculated values
**Crystal system**: cubic

Cell: 4.3441 4.3441 4.3441 Å, 60.00 60.00 60.00°
With the nearest neighbours (Å) after each atom.
Fractional positions:
Ga1 0.0000 0.0000 0.0000  4 Tc 2.66, 4 Os 2.66
Tc1 0.5000 0.5000 0.5000  4 Tc 2.66, 4 Os 2.66
Tc2 0.7500 0.7500 0.7500  4 Tc 2.66, 4 Ga 2.66
Os1 0.2500 0.2500 0.2500  4 Tc 2.66, 4 Ga 2.66

***

We obtain uncorrected energy values of -55.797, -11.241, -22.740, -23.553, -65.751, -53.639, -31.157, -34.508 eV/f.u. for the records listed above, in that order.
We obtain mass density values of 10.15, 3.98, 5.83, 4.81, 6.77, 7.53, 8.00, 13.06 g cm⁻³ for the records listed above, in that order.